Record 1
Here is a geometry-optimized Na2SrY4 structure from Alexandria via LeMat-Bulk. Energies are from GGA-PBE.

Cell lengths 9.4949, 9.4949, 9.4949 Å; angles 144.84, 144.84, 50.58 degrees
Atoms (fractional coordinates):
Na 0.1216 0.1216 0.0000
Na 0.8784 0.8784 0.0000
Sr 0.5000 0.5000 0.0000
Y 0.0000 0.5000 0.5000
Y 0.3224 0.3224 0.0000
Y 0.5000 0.0000 0.5000
Y 0.6776 0.6776 0.0000

Values from the calculation:
The value obtained for the energy of formation is 0.99 eV per atom. The total energy comes out at -3.320 eV per atom.

Record 2
Here is a geometry-optimized Nd3Er3Mg structure from Alexandria via LeMat-Bulk. Energies are from GGA-PBE.

Cell lengths 7.9963, 5.0102, 11.1914 Å; angles 90.00, 98.79, 90.00 degrees
Atoms (fractional coordinates):
Nd 0.0031 0.2500 0.2507
Nd 0.2776 0.2500 0.6815
Nd 0.4424 0.2500 0.3935
Nd 0.5576 0.7500 0.6065
Nd 0.7224 0.7500 0.3185
Nd 0.9969 0.7500 0.7493
Er 0.1436 0.2500 0.9672
Er 0.2879 0.7500 0.1807
Er 0.4304 0.7500 0.8943
Er 0.5696 0.2500 0.1057
Er 0.7121 0.2500 0.8193
Er 0.8564 0.7500 0.0328
Mg 0.1390 0.7500 0.4643
Mg 0.8610 0.2500 0.5357

Values from the calculation:
The value obtained for the energy of formation is 0.01 eV per atom. The total energy comes out at -4.214 eV per atom. Its energy above the most stable polymorph in this dataset is 0.0 meV per atom.

Record 3
Here is a geometry-optimized Ca2ZnAg structure from Alexandria via LeMat-Bulk. Energies are from GGA-PBE.

Cell lengths 3.5951, 3.5951, 8.1892 Å; angles 90.00, 90.00, 90.00 degrees
Atoms (fractional coordinates):
Ca 0.0000 0.0000 0.0000
Ca 0.5000 0.5000 0.3780
Zn 0.0000 0.0000 0.6094
Ag 0.5000 0.5000 0.7628

Values from the calculation:
The value obtained for the energy of formation is -0.17 eV per atom. The total energy comes out at -2.204 eV per atom.

Record 4
Here is a geometry-optimized ZrPbW2 structure from Alexandria via LeMat-Bulk. Energies are from GGA-PBE.

Cell lengths 5.5213, 5.5213, 5.5213 Å; angles 142.57, 129.45, 64.56 degrees
Atoms (fractional coordinates):
Zr 0.0000 0.0000 0.0000
Pb 0.7283 0.2283 0.5000
W 0.2604 0.7604 0.5000
W 0.4700 0.4700 0.0000

Values from the calculation:
The value obtained for the energy of formation is 0.42 eV per atom. The total energy comes out at -9.121 eV per atom.

Record 5
Here is a geometry-optimized TbHo2UAs4 structure from Alexandria via LeMat-Bulk. Energies are from GGA-PBE.

Cell lengths 7.1030, 4.0891, 7.1052 Å; angles 90.00, 109.19, 90.00 degrees
Atoms (fractional coordinates):
Tb 0.0000 0.0000 0.0000
Ho 0.5000 0.0000 0.5000
Ho 0.5000 0.5000 0.0000
U 0.0000 0.5000 0.5000
As 0.2492 0.5000 0.2542
As 0.2497 0.0000 0.7479
As 0.7503 0.0000 0.2521
As 0.7508 0.5000 0.7458

Values from the calculation:
The value obtained for the energy of formation is -1.33 eV per atom. The total energy comes out at -6.786 eV per atom.

Record 6
Here is a geometry-optimized Cs2CoAu structure from Alexandria via LeMat-Bulk. Energies are from GGA-PBE.

Cell lengths 6.2311, 6.2311, 6.2311 Å; angles 60.00, 60.00, 60.00 degrees
Atoms (fractional coordinates):
Cs 0.2500 0.2500 0.2500
Cs 0.7500 0.7500 0.7500
Co 0.0000 0.0000 0.0000
Au 0.5000 0.5000 0.5000

Values from the calculation:
The value obtained for the energy of formation is 0.57 eV per atom. The total energy comes out at -2.454 eV per atom.

Record 7
Here is a geometry-optimized LaNd2Dy5Er structure from Alexandria via LeMat-Bulk. Energies are from GGA-PBE.

Cell lengths 9.9592, 9.9592, 9.9592 Å; angles 127.77, 127.77, 76.99 degrees
Atoms (fractional coordinates):
La 0.2500 0.2500 0.0000
La 0.7500 0.7500 0.0000
Nd 0.1173 0.6173 0.7345
Nd 0.3827 0.1173 0.5000
Nd 0.6173 0.8827 0.5000
Nd 0.8827 0.3827 0.2655
Dy 0.0000 0.0000 0.0000
Dy 0.0724 0.1536 0.5000
Dy 0.1536 0.6536 0.0812
Dy 0.3464 0.4276 0.5000
Dy 0.4276 0.9276 0.0812
Dy 0.5000 0.5000 0.0000
Dy 0.5724 0.0724 0.9188
Dy 0.6536 0.5724 0.5000
Dy 0.8464 0.3464 0.9188
Dy 0.9276 0.8464 0.5000
Er 0.2500 0.7500 0.5000
Er 0.7500 0.2500 0.5000

Values from the calculation:
The value obtained for the energy of formation is 0.26 eV per atom. The total energy comes out at -4.408 eV per atom.

Record 8
Here is a geometry-optimized NaInHgBi structure from Alexandria via LeMat-Bulk. Energies are from GGA-PBE.

Cell lengths 5.4164, 5.4164, 5.4164 Å; angles 60.00, 60.00, 60.00 degrees
Atoms (fractional coordinates):
Na 0.0000 0.0000 0.0000
In 0.5000 0.5000 0.5000
Hg 0.7500 0.7500 0.7500
Bi 0.2500 0.2500 0.2500

Values from the calculation:
The value obtained for the energy of formation is -0.14 eV per atom. The total energy comes out at -2.202 eV per atom.

Record 9
Here is a geometry-optimized MnFeMo2 structure from Alexandria via LeMat-Bulk. Energies are from GGA-PBE.

Cell lengths 2.6062, 2.6062, 8.0134 Å; angles 90.00, 90.00, 90.00 degrees
Atoms (fractional coordinates):
Mn 0.0000 0.0000 0.0000
Fe 0.5000 0.5000 0.8048
Mo 0.0000 0.0000 0.5509
Mo 0.5000 0.5000 0.2568

Values from the calculation:
The value obtained for the energy of formation is 0.17 eV per atom. The total energy comes out at -9.655 eV per atom. Its energy above the most stable polymorph in this dataset is 59.8 meV per atom.

Record 10
Here is a geometry-optimized Lu2SbAs structure from Alexandria via LeMat-Bulk. Energies are from GGA-PBE.

Cell lengths 7.2827, 7.2827, 7.2827 Å; angles 33.11, 33.11, 33.11 degrees
Atoms (fractional coordinates):
Lu 0.2438 0.2438 0.2438
Lu 0.7562 0.7562 0.7562
Sb 0.0000 0.0000 0.0000
As 0.5000 0.5000 0.5000

Values from the calculation:
The total energy comes out at -5.681 eV per atom. The value obtained for the formation energy (no corrections) is -1.23 eV/atom.

Record 11
Here is a geometry-optimized Ce2GaSi3 structure from Alexandria via LeMat-Bulk. Energies are from GGA-PBE.

Cell lengths 4.1166, 4.1588, 7.1062 Å; angles 90.00, 90.00, 90.00 degrees
Atoms (fractional coordinates):
Ce 0.0000 0.0000 0.0000
Ce 0.5000 0.0000 0.4834
Ga 0.0000 0.5000 0.6580
Si 0.0000 0.5000 0.3206
Si 0.5000 0.5000 0.1614
Si 0.5000 0.5000 0.8320

Values from the calculation:
The total energy comes out at -5.835 eV per atom. The value obtained for the formation energy (no corrections) is -0.64 eV/atom. Its energy above the most stable polymorph in this dataset is 4.4 meV per atom.

Record 12
Here is a geometry-optimized Nd6Cd3Ni structure from Alexandria via LeMat-Bulk. Energies are from GGA-PBE.

Cell lengths 8.4844, 8.4844, 8.4844 Å; angles 80.26, 80.26, 80.26 degrees
Atoms (fractional coordinates):
Nd 0.0099 0.0099 0.6763
Nd 0.0099 0.6763 0.0099
Nd 0.2901 0.2901 0.6423
Nd 0.2901 0.6423 0.2901
Nd 0.3237 0.9901 0.9901
Nd 0.3577 0.7099 0.7099
Nd 0.6423 0.2901 0.2901
Nd 0.6763 0.0099 0.0099
Nd 0.7099 0.3577 0.7099
Nd 0.7099 0.7099 0.3577
Nd 0.9901 0.3237 0.9901
Nd 0.9901 0.9901 0.3237
Cd 0.0080 0.3718 0.3718
Cd 0.3718 0.0080 0.3718
Cd 0.3718 0.3718 0.0080
Cd 0.6282 0.6282 0.9920
Cd 0.6282 0.9920 0.6282
Cd 0.9920 0.6282 0.6282
Ni 0.0000 0.0000 0.0000
Ni 0.5000 0.5000 0.5000

Values from the calculation:
The value obtained for the energy of formation is -0.13 eV per atom. The total energy comes out at -3.848 eV per atom.

Record 13
Here is a geometry-optimized Ti2NbBi structure from Alexandria via LeMat-Bulk. Energies are from GGA-PBE.

Cell lengths 6.0981, 6.0981, 6.0981 Å; angles 102.77, 102.77, 123.92 degrees
Atoms (fractional coordinates):
Ti 0.0991 0.6250 0.9741
Ti 0.3750 0.3491 0.4741
Ti 0.6509 0.1250 0.0259
Ti 0.8750 0.9009 0.5259
Nb 0.0000 0.0000 0.0000
Nb 0.7500 0.2500 0.5000
Bi 0.2500 0.7500 0.5000
Bi 0.5000 0.5000 0.0000

Values from the calculation:
The value obtained for the energy of formation is 0.50 eV per atom. The total energy comes out at -6.931 eV per atom.

Record 14
Here is a geometry-optimized CaPr2Sn structure from Alexandria via LeMat-Bulk. Energies are from GGA-PBE.

Cell lengths 5.0405, 5.0405, 4.9434 Å; angles 90.00, 90.00, 90.00 degrees
Atoms (fractional coordinates):
Ca 0.0000 0.0000 0.0000
Pr 0.0000 0.5000 0.5000
Pr 0.5000 0.0000 0.5000
Sn 0.5000 0.5000 0.0000

Values from the calculation:
The value obtained for the energy of formation is -0.41 eV per atom. The total energy comes out at -4.299 eV per atom. Its energy above the most stable polymorph in this dataset is 0.0 meV per atom.

Record 15
Here is a geometry-optimized Y2BeSi structure from Alexandria via LeMat-Bulk. Energies are from GGA-PBE.

Cell lengths 8.0640, 8.0640, 8.0640 Å; angles 26.82, 26.82, 26.82 degrees
Atoms (fractional coordinates):
Y 0.2493 0.2493 0.2493
Y 0.7507 0.7507 0.7507
Be 0.0000 0.0000 0.0000
Si 0.5000 0.5000 0.5000

Values from the calculation:
The total energy comes out at -5.527 eV per atom. The value obtained for the formation energy (no corrections) is -0.01 eV/atom. Its energy above the most stable polymorph in this dataset is 479.2 meV per atom.

Record 16
Here is a geometry-optimized Ca2CO structure from Alexandria via LeMat-Bulk. Energies are from GGA-PBE.

Cell lengths 5.8593, 5.8593, 5.8593 Å; angles 116.37, 116.37, 96.40 degrees
Atoms (fractional coordinates):
Ca 0.0901 0.1250 0.4651
Ca 0.3750 0.9099 0.0349
Ca 0.6599 0.6250 0.5349
Ca 0.8750 0.3401 0.9651
C 0.2500 0.7500 0.5000
C 0.5000 0.5000 0.0000
O 0.0000 0.0000 0.0000
O 0.7500 0.2500 0.5000

Values from the calculation:
The total energy comes out at -5.230 eV per atom. The value obtained for the formation energy (no corrections) is -0.68 eV/atom. Its energy above the most stable polymorph in this dataset is 0.0 meV per atom.

Record 17
Here is a geometry-optimized ZrInW2 structure from Alexandria via LeMat-Bulk. Energies are from GGA-PBE.

Cell lengths 2.8404, 2.8404, 9.3379 Å; angles 90.00, 90.00, 90.00 degrees
Atoms (fractional coordinates):
Zr 0.0000 0.0000 0.0000
In 0.0000 0.0000 0.5000
W 0.5000 0.5000 0.2556
W 0.5000 0.5000 0.7444

Values from the calculation:
The value obtained for the energy of formation is 0.50 eV per atom. The total energy comes out at -8.799 eV per atom.

Record 18
Here is a geometry-optimized K7HAu3 structure from Alexandria via LeMat-Bulk. Energies are from GGA-PBE.

Cell lengths 9.3376, 9.3376, 10.8157 Å; angles 90.00, 90.00, 110.00 degrees
Atoms (fractional coordinates):
K 0.0542 0.9458 0.7500
K 0.0761 0.3251 0.9624
K 0.0765 0.3262 0.5353
K 0.3251 0.0761 0.0376
K 0.3262 0.0765 0.4647
K 0.3635 0.6365 0.7500
K 0.3679 0.6321 0.2500
K 0.6321 0.3679 0.7500
K 0.6365 0.3635 0.2500
K 0.6738 0.9235 0.9647
K 0.6749 0.9239 0.5376
K 0.9235 0.6738 0.0353
K 0.9239 0.6749 0.4624
K 0.9458 0.0542 0.2500
H 0.0006 0.0006 0.5000
H 0.9994 0.9994 0.0000
Au 0.0032 0.4303 0.2486
Au 0.4303 0.0032 0.7514
Au 0.4992 0.4992 0.5000
Au 0.5008 0.5008 0.0000
Au 0.5697 0.9968 0.2514
Au 0.9968 0.5697 0.7486

Values from the calculation:
The total energy comes out at -2.049 eV per atom.

Record 19
Here is a geometry-optimized ReC structure from Alexandria via LeMat-Bulk. Energies are from GGA-PBE.

Cell lengths 5.5260, 5.5260, 2.9701 Å; angles 90.00, 90.00, 148.50 degrees
Atoms (fractional coordinates):
Re 0.1593 0.8407 0.7500
Re 0.8407 0.1593 0.2500
C 0.3619 0.6381 0.7500
C 0.6381 0.3619 0.2500

Values from the calculation:
The value obtained for the energy of formation is 0.90 eV per atom. The total energy comes out at -9.939 eV per atom. Its energy above the most stable polymorph in this dataset is 657.0 meV per atom.

Record 20
Here is a geometry-optimized PmDy2Zn2Si2 structure from Alexandria via LeMat-Bulk. Energies are from GGA-PBE.

Cell lengths 11.4587, 11.4587, 11.4587 Å; angles 20.54, 20.54, 20.54 degrees
Atoms (fractional coordinates):
Pm 0.0000 0.0000 0.0000
Dy 0.1227 0.1227 0.1227
Dy 0.8773 0.8773 0.8773
Zn 0.3957 0.3957 0.3957
Zn 0.6043 0.6043 0.6043
Si 0.2688 0.2688 0.2688
Si 0.7312 0.7312 0.7312

Values from the calculation:
The total energy comes out at -4.367 eV per atom. The value obtained for the formation energy (no corrections) is -0.46 eV/atom.